This record from the Alexandria database describes crystalline Cd3Ir at its relaxed geometry. The functional is PBE.

```
data_Cd3Ir
_chemical_formula_sum 'Cd3 Ir1'
_cell_length_a 4.2079
_cell_length_b 4.2079
_cell_length_c 4.2079
_cell_angle_alpha 90.00
_cell_angle_beta 90.00
_cell_angle_gamma 90.00
_symmetry_space_group_name_H-M 'P m -3 m'
_symmetry_Int_Tables_number 221
_symmetry_space_group_name_Hall '-P 4 2 3'
loop_
_atom_site_label
_atom_site_fract_x
_atom_site_fract_y
_atom_site_fract_z
Cd1 0.0000 0.0000 0.5000
Ir1 0.5000 0.5000 0.5000
```

Properties
calculated total energy: -2.8029 eV per atom